# HAu2F, optimized geometry, DFT PBE
data_HAu2F
_cell_length_a 5.9227
_cell_length_b 5.9227
_cell_length_c 5.9227
_cell_angle_alpha 90.00
_cell_angle_beta 90.00
_cell_angle_gamma 90.00
_space_group_name_H-M_alt 'F m -3 m'
_space_group_IT_number 225
_space_group_name_Hall '-F 4 2 3'
loop_
_atom_site_label
_atom_site_type_symbol
_atom_site_fract_x
_atom_site_fract_y
_atom_site_fract_z
H1 H 0.0000 0.0000 0.0000
Au1 Au 0.2500 0.2500 0.2500
F1 F 0.0000 0.0000 0.5000
# Total moment, μB/cell: 0.000
# Energy, eV/atom: -2.692
# Energy above the most stable polymorph in this dataset, meV/atom: 449

=====

# Ac2HoSbO8, optimized geometry, DFT PBE
data_Ac2HoSbO8
_cell_length_a 4.5465
_cell_length_b 7.2131
_cell_length_c 5.6126
_cell_angle_alpha 90.00
_cell_angle_beta 93.51
_cell_angle_gamma 90.00
_space_group_name_H-M_alt 'P 1 2/m 1'
_space_group_IT_number 10
_space_group_name_Hall '-P 2y'
loop_
_atom_site_label
_atom_site_type_symbol
_atom_site_fract_x
_atom_site_fract_y
_atom_site_fract_z
Ac1 Ac 0.0000 0.2469 0.0000
Ho1 Ho 0.5000 0.5000 0.5000
Sb1 Sb 0.5000 0.0000 0.5000
O1 O 0.0693 0.0000 0.3850
O2 O 0.0852 0.5000 0.2556
O3 O 0.4525 0.2089 0.7339
# Total moment, μB/cell: 0.000
# Energy, eV/atom: -7.164
# Formation energy (no corrections), eV/atom: -2.449

=====

# CrCoHg2, optimized geometry, DFT PBE
data_CrCoHg2
_cell_length_a 4.2141
_cell_length_b 4.2141
_cell_length_c 7.6726
_cell_angle_alpha 90.00
_cell_angle_beta 90.00
_cell_angle_gamma 90.00
_space_group_name_H-M_alt 'I 4/m m m'
_space_group_IT_number 139
_space_group_name_Hall '-I 4 2'
loop_
_atom_site_label
_atom_site_type_symbol
_atom_site_fract_x
_atom_site_fract_y
_atom_site_fract_z
Cr1 Cr 0.0000 0.0000 0.0000
Co1 Co 0.0000 0.0000 0.5000
Hg1 Hg 0.0000 0.5000 0.2500
# Total moment, μB/cell: 9.601
# Energy, eV/atom: -3.839
# Energy above the most stable polymorph in this dataset, meV/atom: 127

=====

# TbCe2Y, optimized geometry, DFT PBE
data_TbCe2Y
_cell_length_a 4.9223
_cell_length_b 4.9223
_cell_length_c 5.0828
_cell_angle_alpha 90.00
_cell_angle_beta 90.00
_cell_angle_gamma 90.00
_space_group_name_H-M_alt 'P 4/m m m'
_space_group_IT_number 123
_space_group_name_Hall '-P 4 2'
loop_
_atom_site_label
_atom_site_type_symbol
_atom_site_fract_x
_atom_site_fract_y
_atom_site_fract_z
Tb1 Tb 0.0000 0.0000 0.0000
Ce1 Ce 0.0000 0.5000 0.5000
Y1 Y 0.5000 0.5000 0.0000
# Total moment, μB/cell: 1.612
# Energy, eV/atom: -5.626
# Energy above the most stable polymorph in this dataset, meV/atom: 20

=====

# TcRuCl2, optimized geometry, DFT PBE
data_TcRuCl2
_cell_length_a 2.9228
_cell_length_b 4.4495
_cell_length_c 13.9509
_cell_angle_alpha 90.00
_cell_angle_beta 90.00
_cell_angle_gamma 90.00
_space_group_name_H-M_alt 'I m m m'
_space_group_IT_number 71
_space_group_name_Hall '-I 2 2'
loop_
_atom_site_label
_atom_site_type_symbol
_atom_site_fract_x
_atom_site_fract_y
_atom_site_fract_z
Tc1 Tc 0.0000 0.0000 0.0000
Ru1 Ru 0.0000 0.0000 0.5000
Cl1 Cl 0.0000 0.5000 0.3619
# Total moment, μB/cell: 1.936
# Energy, eV/atom: -5.440
# Energy above the most stable polymorph in this dataset, meV/atom: 459
# Formation energy (no corrections), eV/atom: 0.394

=====

# ScRe2Br, optimized geometry, DFT PBE
data_ScRe2Br
_cell_length_a 3.1060
_cell_length_b 3.1060
_cell_length_c 7.9019
_cell_angle_alpha 90.00
_cell_angle_beta 90.00
_cell_angle_gamma 90.00
_space_group_name_H-M_alt 'P 4 m m'
_space_group_IT_number 99
_space_group_name_Hall 'P 4 -2'
loop_
_atom_site_label
_atom_site_type_symbol
_atom_site_fract_x
_atom_site_fract_y
_atom_site_fract_z
Sc1 Sc 0.0000 0.0000 0.0000
Re1 Re 0.0000 0.0000 0.5821
Re2 Re 0.5000 0.5000 0.7526
Br1 Br 0.5000 0.5000 0.2419
# Total moment, μB/cell: 0.000
# Energy, eV/atom: -8.228
# Energy above the most stable polymorph in this dataset, meV/atom: 74
# Formation energy (no corrections), eV/atom: -0.003